A relaxed structure of Ho3VO6, computed with GGA+U.

Fermi-level density of states = 0.000 states/eV/atom
E above lowest polymorph = 0.000 eV/atom
E = -166.714 eV for the cell shown
total magnetization = 4.0 Bohr magnetons per cell

Unit cell a=6.5138 b=6.5138 c=6.5138 alpha=92.47 beta=92.47 gamma=92.47
Last column: magnetic moment on the atom in μB.
Fractional positions:
1 O 0.8024 0.4605 0.5899  0.00
2 O 0.4101 0.1976 0.5395  0.00
3 O 0.3035 0.9188 0.0695  0.00
4 O 0.4605 0.5899 0.8024  0.00
5 O 0.0695 0.3035 0.9188  0.00
6 Ho 0.5645 0.0717 0.2547  0.00
7 Ho 0.0717 0.2547 0.5645  0.00
8 O 0.1976 0.5395 0.4101  0.00
9 V 0.0000 0.0000 0.0000  1.90
10 O 0.9188 0.0695 0.3035  0.00
11 V 0.5000 0.5000 0.5000  1.86
12 O 0.5899 0.8024 0.4605  0.00
13 O 0.5395 0.4101 0.1976  0.00
14 O 0.9305 0.6965 0.0812  0.00
15 Ho 0.7453 0.4355 0.9283  0.00
16 Ho 0.9283 0.7453 0.4355  0.00
17 Ho 0.2547 0.5645 0.0717  0.00
18 Ho 0.4355 0.9283 0.7453  0.00
19 O 0.6965 0.0812 0.9305  0.00
20 O 0.0812 0.9305 0.6965  0.00